Entry from the Alexandria database: a geometry-optimized Tb2Mn2Cu15 structure (PBE-GGA).

Formation enthalpy at 0 K   -0.074 eV per atom
Calculated total energy   -4.7599 eV/atom
Density of states at the Fermi level   0.61 states/eV per atom

Geometry as extended XYZ:
```
19
Lattice="4.2870 2.4751 4.2000 -4.2870 2.4751 4.2000 0.0000 -4.9502 4.2000" Properties=species:S:1:pos:R:3 pbc="T T T"
Tb 0.0000 0.0000 1.9796
Tb 0.0000 0.0000 10.6203
Mn 0.0000 0.0000 5.0648
Mn 0.0000 0.0000 7.5351
Cu -2.1435 -1.2376 4.2000
Cu 0.0000 -2.4817 4.0252
Cu -2.1492 1.2409 4.0252
Cu -1.2683 -2.1968 6.3000
Cu -2.5366 0.0000 6.3000
Cu -2.1492 -1.2409 8.5747
Cu -2.1435 1.2376 8.3999
Cu 1.2683 -2.1968 6.3000
Cu 0.0000 2.4751 4.2000
Cu -1.2683 2.1968 6.3000
Cu 2.1492 1.2409 4.0252
Cu 2.5366 0.0000 6.3000
Cu 1.2683 2.1968 6.3000
Cu 2.1492 -1.2409 8.5747
Cu 0.0000 2.4817 8.5747
```

=====

Entry from the Alexandria database: a geometry-optimized Tb2MnCu structure (PBE-GGA).

Formation enthalpy at 0 K   -0.014 eV per atom
Calculated total energy   -5.6461 eV/atom
Density of states at the Fermi level   0.95 states/eV per atom

Geometry as extended XYZ:
```
4
Lattice="3.4817 0.0000 0.0000 0.0000 3.4817 0.0000 0.0000 0.0000 7.1534" Properties=species:S:1:pos:R:3 pbc="T T T"
Tb 0.0000 0.0000 1.7676
Tb 0.0000 0.0000 5.3858
Mn 1.7409 1.7409 3.5767
Cu 1.7409 1.7409 0.0000
```

=====

Entry from the Alexandria database: a geometry-optimized TbTmMnCu structure (PBE-GGA).

Formation enthalpy at 0 K   0.020 eV per atom
Calculated total energy   -5.5723 eV/atom
Density of states at the Fermi level   1.19 states/eV per atom

Geometry as extended XYZ:
```
4
Lattice="0.0000 3.4847 3.4847 3.4847 0.0000 3.4847 3.4847 3.4847 0.0000" Properties=species:S:1:pos:R:3 pbc="T T T"
Tb 0.0000 0.0000 0.0000
Tm 3.4847 3.4847 3.4847
Mn 5.2271 5.2271 5.2271
Cu 1.7424 1.7424 1.7424
```

=====

Entry from the Alexandria database: a geometry-optimized TbYMnCu structure (PBE-GGA).

Formation enthalpy at 0 K   0.039 eV per atom
Calculated total energy   -6.0507 eV/atom
Density of states at the Fermi level   1.19 states/eV per atom

Geometry as extended XYZ:
```
4
Lattice="0.0000 3.5180 3.5180 3.5180 0.0000 3.5180 3.5180 3.5180 0.0000" Properties=species:S:1:pos:R:3 pbc="T T T"
Tb 0.0000 0.0000 0.0000
Y 3.5180 3.5180 3.5180
Mn 1.7590 1.7590 1.7590
Cu 5.2770 5.2770 5.2770
```

=====

Entry from the Alexandria database: a geometry-optimized Tb2MnZn12Cu3 structure (PBE-GGA).

Formation enthalpy at 0 K   0.012 eV per atom
Calculated total energy   -2.5438 eV/atom
Density of states at the Fermi level   0.58 states/eV per atom

Geometry as extended XYZ:
```
18
Lattice="2.7544 1.5903 11.9104 -2.7544 1.5903 11.9104 0.0000 -3.1805 11.9104" Properties=species:S:1:pos:R:3 pbc="T T T"
Tb 0.0000 0.0000 5.1542
Tb 0.0000 0.0000 30.5768
Mn 0.0000 0.0000 17.8655
Zn 0.0000 -1.6724 10.0165
Zn -1.4483 0.8362 10.0165
Zn -1.3721 -0.7922 15.8764
Zn -1.4483 -0.8362 25.7146
Zn 0.0000 -1.5844 19.8547
Zn -1.3721 0.7922 19.8547
Zn 1.3721 -0.7922 15.8764
Zn 0.0000 1.5844 15.8764
Zn 1.4483 0.8362 10.0165
Zn 1.3721 0.7922 19.8547
Zn 1.4483 -0.8362 25.7146
Zn 0.0000 1.6724 25.7146
Cu -1.3772 -0.7951 11.9104
Cu -1.3772 0.7951 23.8207
Cu 0.0000 1.5903 11.9103
```

=====

Entry from the Alexandria database: a geometry-optimized MnCu2Tc structure (PBE-GGA).

Formation enthalpy at 0 K   0.201 eV per atom
Calculated total energy   -6.7313 eV/atom
Density of states at the Fermi level   0.82 states/eV per atom
Offset from the most stable computed form   0.041 eV/atom

Geometry as extended XYZ:
```
4
Lattice="4.3010 -1.2830 0.0000 4.3010 1.2830 0.0000 -0.6409 0.0000 4.6546" Properties=species:S:1:pos:R:3 pbc="T T T"
Mn 0.0000 0.0000 0.0000
Cu 3.9374 0.0000 2.3068
Cu 6.2480 0.0000 1.2924
Tc 1.6140 0.0000 3.6222
```

=====

Entry from the Alexandria database: a geometry-optimized MnCuTc2 structure (PBE-GGA).

Formation enthalpy at 0 K   0.177 eV per atom
Calculated total energy   -8.3227 eV/atom
Density of states at the Fermi level   1.24 states/eV per atom
Offset from the most stable computed form   0.035 eV/atom

Geometry as extended XYZ:
```
4
Lattice="2.6345 0.0000 0.0000 0.0000 2.6345 0.0000 0.0000 0.0000 7.5467" Properties=species:S:1:pos:R:3 pbc="T T T"
Mn 0.0000 0.0000 0.0000
Cu 0.0000 0.0000 3.7734
Tc 1.3172 1.3172 1.7858
Tc 1.3172 1.3172 5.7609
```

=====

Entry from the Alexandria database: a geometry-optimized MnCu2Tc structure (PBE-GGA).

Formation enthalpy at 0 K   0.313 eV per atom
Calculated total energy   -6.6189 eV/atom
Density of states at the Fermi level   1.39 states/eV per atom
Offset from the most stable computed form   0.154 eV/atom

Geometry as extended XYZ:
```
4
Lattice="1.3212 0.7628 8.6749 -1.3212 0.7628 8.6749 0.0000 -1.5256 8.6749" Properties=species:S:1:pos:R:3 pbc="T T T"
Mn 0.0000 0.0000 0.0000
Cu 0.0000 0.0000 6.5529
Cu 0.0000 0.0000 19.4718
Tc 0.0000 0.0000 13.0124
```

=====

Entry from the Alexandria database: a geometry-optimized MnCuTc2 structure (PBE-GGA).

Formation enthalpy at 0 K   0.202 eV per atom
Calculated total energy   -8.2976 eV/atom
Density of states at the Fermi level   1.01 states/eV per atom
Offset from the most stable computed form   0.060 eV/atom

Geometry as extended XYZ:
```
4
Lattice="2.6324 -3.9042 0.0000 2.6324 3.9042 0.0000 0.0000 0.0000 2.5901" Properties=species:S:1:pos:R:3 pbc="T T T"
Mn 0.0000 0.0000 0.0000
Cu 2.6324 0.0000 0.0000
Tc 1.3162 1.9521 1.2950
Tc 1.3162 -1.9521 1.2950
```

=====

Entry from the Alexandria database: a geometry-optimized MnCu2Tc structure (PBE-GGA).

Formation enthalpy at 0 K   0.318 eV per atom
Calculated total energy   -6.6139 eV/atom
Density of states at the Fermi level   0.88 states/eV per atom
Offset from the most stable computed form   0.159 eV/atom

Geometry as extended XYZ:
```
4
Lattice="3.1276 0.0000 0.0000 0.0000 3.1276 0.0000 0.0000 0.0000 5.3702" Properties=species:S:1:pos:R:3 pbc="T T T"
Mn 0.0000 0.0000 0.0000
Cu 1.5638 1.5638 1.2959
Cu 1.5638 1.5638 4.0743
Tc 0.0000 0.0000 2.6851
```

=====

Entry from the Alexandria database: a geometry-optimized MnCuTc2 structure (PBE-GGA).

Formation enthalpy at 0 K   0.177 eV per atom
Calculated total energy   -8.3221 eV/atom
Density of states at the Fermi level   0.85 states/eV per atom
Offset from the most stable computed form   0.035 eV/atom

Geometry as extended XYZ:
```
4
Lattice="2.6188 0.0000 0.0000 0.0000 3.8160 0.0000 -0.0111 0.0000 5.2628" Properties=species:S:1:pos:R:3 pbc="T T T"
Mn 0.0000 0.0000 0.0000
Cu -0.0055 0.0000 2.6314
Tc 1.3010 1.9080 1.2821
Tc 1.3066 1.9080 3.9807
```

=====

Entry from the Alexandria database: a geometry-optimized MnCuTc2 structure (PBE-GGA).

Formation enthalpy at 0 K   0.189 eV per atom
Calculated total energy   -8.3102 eV/atom
Density of states at the Fermi level   0.92 states/eV per atom
Offset from the most stable computed form   0.047 eV/atom

Geometry as extended XYZ:
```
4
Lattice="2.7688 0.0000 0.0000 0.0000 2.7688 0.0000 0.0000 0.0000 7.1762" Properties=species:S:1:pos:R:3 pbc="T T T"
Mn 0.0000 0.0000 0.0000
Cu 1.3844 1.3844 5.4820
Tc 0.0000 0.0000 3.6270
Tc 1.3844 1.3844 1.8138
```

=====

Entry from the Alexandria database: a geometry-optimized MnCu2Tc structure (PBE-GGA).

Formation enthalpy at 0 K   0.159 eV per atom
Calculated total energy   -6.7725 eV/atom
Density of states at the Fermi level   0.70 states/eV per atom
Offset from the most stable computed form   0.000 eV/atom

Geometry as extended XYZ:
```
4
Lattice="2.5915 0.0000 0.0000 0.0000 2.5915 0.0000 0.0000 0.0000 7.6408" Properties=species:S:1:pos:R:3 pbc="T T T"
Mn 0.0000 0.0000 0.0000
Cu 0.0000 0.0000 3.9713
Cu 1.2958 1.2958 5.7847
Tc 1.2958 1.2958 1.9693
```

=====

Entry from the Alexandria database: a geometry-optimized MnCu2Tc structure (PBE-GGA).

Formation enthalpy at 0 K   0.530 eV per atom
Calculated total energy   -6.4024 eV/atom
Density of states at the Fermi level   1.34 states/eV per atom
Offset from the most stable computed form   0.370 eV/atom

Geometry as extended XYZ:
```
4
Lattice="0.0000 2.9170 2.9170 2.9170 0.0000 2.9170 2.9170 2.9170 0.0000" Properties=species:S:1:pos:R:3 pbc="T T T"
Mn 0.0000 0.0000 0.0000
Cu 1.4585 1.4585 1.4585
Cu 4.3755 4.3755 4.3755
Tc 2.9170 2.9170 2.9170
```